Record 1
CsOsSe2Br | the Alexandria database | meta-GGA SCAN | single point on PBEsol structure; total energy = -170.38 eV per cell; Fermi-level density of states = 0.74 states/eV per atom
1.0
4.840 0.000 0.000
0.000 4.840 0.000
0.000 0.000 5.592
Cs Os Se Br
1 1 2 1
Direct
0.000 0.000 0.000
0.500 0.500 0.500
0.000 0.500 0.500
0.500 0.000 0.500
0.500 0.500 0.000

=====

Record 2
LiCd | the Alexandria database | meta-GGA SCAN | single point on PBEsol structure; total energy = -66.88 eV per cell; Fermi-level density of states = 0.25 states/eV per atom; calculated formation energy = -0.32 eV per atom
1.0
0.000 3.300 3.300
3.300 0.000 3.300
3.300 3.300 0.000
Li Cd
2 2
Direct
0.125 0.125 0.125
0.875 0.875 0.875
0.375 0.375 0.375
0.625 0.625 0.625